Entry from Alexandria via LeMat-Bulk: a relaxed structure of Sm2HoSi2Pt7 (PBE-GGA).

Values from the calculation:
Raw formation energy: -1305 kJ/mol of formula units

a b c (Å): 4.0665 4.0665 13.8307
angles (deg): 95.75 95.75 89.51
Closest atoms and distances in Å follow each position.
Fractional coordinates of all 12 atoms:
1 Sm 0.1087 0.1087 0.3554  7 Pt 2.99-3.34, 4 Si 3.14-3.27
2 Sm 0.8913 0.8913 0.6446  7 Pt 2.99-3.34, 4 Si 3.14-3.27
3 Ho 0.0000 0.0000 0.0000  12 Pt 2.86-2.98
4 Si 0.4129 0.4129 0.7466  5 Pt 2.35-2.41
5 Si 0.5871 0.5871 0.2534  5 Pt 2.35-2.41
6 Pt 0.0550 0.5542 0.1587  2 Si 2.41
7 Pt 0.3775 0.3775 0.5752  1 Si 2.35
8 Pt 0.4458 0.9450 0.8413  2 Si 2.41
9 Pt 0.5000 0.5000 0.0000  4 Ho 2.86-2.89, 8 Pt 2.97-2.98
10 Pt 0.5542 0.0550 0.1587  2 Si 2.41
11 Pt 0.6225 0.6225 0.4248  1 Si 2.35
12 Pt 0.9450 0.4458 0.8413  2 Si 2.41

Entry from Alexandria via LeMat-Bulk: a relaxed structure of DyZn12Ga4 (PBE-GGA).

Values from the calculation:
E_form: 0.16 eV/atom

a b c (Å): 7.5717 7.5717 7.5717
angles (deg): 109.47 109.47 109.47
Closest atoms and distances in Å follow each position.
Fractional coordinates of all 17 atoms:
1 Dy 0.0000 0.0000 0.0000  12 Zn 3.34
2 Zn 0.1473 0.3529 0.5002  2 Ga 2.53, 2 Zn 2.57-2.58
3 Zn 0.1473 0.6471 0.7944  2 Ga 2.53, 2 Zn 2.57-2.58
4 Zn 0.2056 0.8527 0.3529  2 Ga 2.53, 2 Zn 2.57-2.58
5 Zn 0.3529 0.2056 0.8527  2 Ga 2.53, 2 Zn 2.57-2.58
6 Zn 0.3529 0.5002 0.1473  2 Ga 2.53, 2 Zn 2.57-2.58
7 Zn 0.5002 0.1473 0.3529  2 Ga 2.53, 2 Zn 2.57-2.58
8 Zn 0.4998 0.8527 0.6471  2 Ga 2.53, 2 Zn 2.57-2.58
9 Zn 0.6471 0.4998 0.8527  2 Ga 2.53, 2 Zn 2.57-2.58
10 Zn 0.6471 0.7944 0.1473  2 Ga 2.53, 2 Zn 2.57-2.58
11 Zn 0.7944 0.1473 0.6471  2 Ga 2.53, 2 Zn 2.57-2.58
12 Zn 0.8527 0.3529 0.2056  2 Ga 2.53, 2 Zn 2.57-2.58
13 Zn 0.8527 0.6471 0.4998  2 Ga 2.53, 2 Zn 2.57-2.58
14 Ga 0.0000 0.0000 0.5000  6 Zn 2.53
15 Ga 0.0000 0.5000 0.0000  6 Zn 2.53
16 Ga 0.5000 0.0000 0.0000  6 Zn 2.53
17 Ga 0.5000 0.5000 0.5000  6 Zn 2.53

Entry from Alexandria via LeMat-Bulk: a relaxed structure of Ca2TmHg (PBE-GGA).

Values from the calculation:
Relative energy among the computed polymorphs: 0 meV per atom
E_form: -0.13 eV/atom

a b c (Å): 4.0489 4.0489 7.5175
angles (deg): 90.00 90.00 90.00
Closest atoms and distances in Å follow each position.
Fractional coordinates of all 4 atoms:
1 Ca 0.0000 0.0000 0.2277  4 Hg 3.34, 1 Ca 3.42, 4 Tm 3.52
2 Ca 0.0000 0.0000 0.7723  4 Hg 3.34, 1 Ca 3.42, 4 Tm 3.52
3 Tm 0.5000 0.5000 0.5000  8 Ca 3.52, 2 Hg 3.76
4 Hg 0.5000 0.5000 0.0000  8 Ca 3.34

Entry from Alexandria via LeMat-Bulk: a relaxed structure of Pr2HoBi4 (PBE-GGA).

Values from the calculation:
E_form: -0.64 eV/atom

a b c (Å): 4.5165 4.5165 11.9059
angles (deg): 90.00 90.00 90.00
Closest atoms and distances in Å follow each position.
Fractional coordinates of all 7 atoms:
1 Pr 0.0000 0.5000 0.2146  8 Bi 3.41-3.44
2 Pr 0.5000 0.0000 0.7854  8 Bi 3.41-3.44
3 Ho 0.0000 0.0000 0.5000  4 Bi 3.09
4 Bi 0.0000 0.0000 0.0000  4 Bi 3.19, 4 Pr 3.41
5 Bi 0.0000 0.5000 0.6776  2 Ho 3.09, 4 Pr 3.44
6 Bi 0.5000 0.0000 0.3224  2 Ho 3.09, 4 Pr 3.44
7 Bi 0.5000 0.5000 0.0000  4 Bi 3.19, 4 Pr 3.41

Entry from Alexandria via LeMat-Bulk: a relaxed structure of Nb13W2 (PBE-GGA).

Values from the calculation:
E_form: 0.14 eV/atom

a b c (Å): 6.9776 7.2378 7.3792
angles (deg): 60.85 62.65 62.87
Closest atoms and distances in Å follow each position.
Fractional coordinates of all 15 atoms:
1 Nb 0.0000 0.0000 0.0000  2 W 2.75, 10 Nb 2.84-3.06
2 Nb 0.0548 0.5503 0.2827  6 Nb 2.72-3.01, 1 W 2.91
3 Nb 0.1132 0.6604 0.8285  8 Nb 2.79-3.12, 1 W 3.12
4 Nb 0.1857 0.8805 0.3281  5 Nb 2.77-2.98, 2 W 2.81-3.05
5 Nb 0.2743 0.0555 0.5429  6 Nb 2.71-2.96
6 Nb 0.4298 0.4266 0.4121  6 Nb 2.69-2.98, 1 W 2.79
7 Nb 0.4961 0.7201 0.9345  2 W 2.74-2.81, 6 Nb 2.82-3.06
8 Nb 0.5039 0.2799 0.0655  2 W 2.74-2.81, 6 Nb 2.82-3.06
9 Nb 0.5702 0.5734 0.5879  6 Nb 2.69-2.98, 1 W 2.79
10 Nb 0.7257 0.9445 0.4571  6 Nb 2.71-2.96
11 Nb 0.8143 0.1195 0.6719  5 Nb 2.77-2.98, 2 W 2.81-3.05
12 Nb 0.8868 0.3396 0.1715  8 Nb 2.79-3.12, 1 W 3.12
13 Nb 0.9452 0.4497 0.7173  6 Nb 2.72-3.01, 1 W 2.91
14 W 0.3493 0.1666 0.8531  7 Nb 2.74-3.05, 1 W 3.07
15 W 0.6507 0.8334 0.1469  7 Nb 2.74-3.05, 1 W 3.07

Entry from Alexandria via LeMat-Bulk: a relaxed structure of KSrCaTe2 (PBE-GGA).

Values from the calculation:
Raw formation energy: -173 kJ/mol of formula units

a b c (Å): 6.1861 6.1861 5.9650
angles (deg): 90.00 90.00 90.00
Closest atoms and distances in Å follow each position.
Fractional coordinates of all 5 atoms:
1 K 0.0000 0.0000 0.0000  2 Sr 2.98
2 Sr 0.0000 0.0000 0.5000  2 K 2.98, 4 Te 3.09
3 Ca 0.5000 0.5000 0.0000  8 Te 4.30, 4 K 4.37
4 Te 0.0000 0.5000 0.5000  2 Sr 3.09
5 Te 0.5000 0.0000 0.5000  2 Sr 3.09

Density values, unit g/cm3, following the record order: 13.84, 6.09, 6.06, 8.77, 9.48, 3.07.